The following is a PBE calculation of an optimized crystal structure of SrCoAg2, from Alexandria.

Properties
Magnetic moment = 1.38 μB per formula unit
Offset from the most stable computed form = 0.72 eV/f.u.
Formation energy = 0.3510 eV/atom
D(E_F) = 8.34 states/eV/cell

Cell lengths 4.417, 3.458, 11.556 Å; angles 90.00, 90.00, 90.00 degrees
Space group Amm2 (No. 38)
One atom of each set of equivalent atoms:
Sr 0.000 0.000 0.000 [2 per cell]
Co 0.500 0.000 0.380 [2 per cell]
Ag 0.000 0.000 0.265 [2 per cell]
Ag 0.500 0.000 0.688 [2 per cell]

***

The following is a PBE calculation of an optimized crystal structure of SrCoAg2, from Alexandria.

Properties
Magnetic moment = 1.43 μB per formula unit
Offset from the most stable computed form = 0.70 eV/f.u.
Formation energy = 0.3462 eV/atom
D(E_F) = 3.84 states/eV/cell

Cell lengths 3.498, 4.514, 5.789 Å; angles 90.00, 105.38, 90.00 degrees
Space group P2/m (No. 10)
One atom of each set of equivalent atoms:
Sr 0.000 0.000 0.000 [1 per cell]
Co 0.500 0.000 0.500 [1 per cell]
Ag 0.342 0.500 0.703 [2 per cell]

***

The following is a PBE calculation of an optimized crystal structure of SrCoAg3, from Alexandria.

Properties
Magnetic moment = 2.55 μB per formula unit
Offset from the most stable computed form = 6.32 eV/f.u.
Formation energy = 1.5532 eV/atom
D(E_F) = 4.81 states/eV/cell

Cell lengths 5.641, 5.641, 5.641 Å; angles 90.00, 90.00, 90.00 degrees
Space group Pm-3m (No. 221)
One atom of each set of equivalent atoms:
Sr 0.000 0.000 0.000 [1 per cell]
Co 0.500 0.500 0.500 [1 per cell]
Ag 0.000 0.000 0.500 [3 per cell]

***

The following is a PBE calculation of an optimized crystal structure of SrCoAg2, from Alexandria.

Properties
Magnetic moment = 1.53 μB per formula unit
Offset from the most stable computed form = 0.02 eV/f.u.
Formation energy = 0.1749 eV/atom
D(E_F) = 17.76 states/eV/cell

Cell lengths 4.5318, 4.5318, 15.8528 Å; angles 90.00, 90.00, 120.00 degrees
Space group R-3m (No. 166, hexagonal axes)
One atom of each set of equivalent atoms:
Sr 0.0000 0.0000 0.0000 [3 per cell]
Co 0.0000 0.0000 0.5000 [3 per cell]
Ag 0.0000 0.0000 0.2009 [6 per cell]

***

The following is a PBE calculation of an optimized crystal structure of SrCo2Ag, from Alexandria.

Properties
Magnetic moment = 3.13 μB per formula unit
Formation energy = 0.5298 eV/atom
D(E_F) = 4.44 states/eV/cell

Cell lengths 3.702, 4.665, 5.275 Å; angles 90.00, 98.26, 90.00 degrees
Space group P2/m (No. 10)
One atom of each set of equivalent atoms:
Sr 0.000 0.000 0.000 [1 per cell]
Co 0.271 0.500 0.617 [2 per cell]
Ag 0.500 0.000 0.500 [1 per cell]

***

The following is a PBE calculation of an optimized crystal structure of SrCo2Ag2, from Alexandria.

Properties
Magnetic moment = 3.03 μB per formula unit
Offset from the most stable computed form = 1.18 eV/f.u.
Formation energy = 0.5146 eV/atom
D(E_F) = 16.43 states/eV/cell

Cell lengths 7.947, 7.947, 2.892 Å; angles 90.00, 90.00, 90.00 degrees
Space group P4/mbm (No. 127)
One atom of each set of equivalent atoms:
Sr 0.000 0.000 0.000 [2 per cell]
Co 0.166 0.334 0.500 [4 per cell]
Ag 0.128 0.628 0.000 [4 per cell]